First-principles (PBEsol) data for Mg2CrWO6 after structural relaxation, as listed in the Alexandria database.

a b c (Å): 5.0909 5.2778 9.0024
angles (deg): 90.00 124.19 90.00
Closest atoms and distances in Å follow each position.
Space group P2_1/c (No. 14)
Inequivalent atoms, fractional coordinates:
Mg 0.2367 0.0553 0.2438 [4 per cell]  4 O 2.05-2.11
Cr 0.0000 0.0000 0.5000 [2 per cell]  6 O 1.96-2.01
W 0.5000 0.0000 0.0000 [2 per cell]  6 O 1.94-1.98
O 0.1215 0.1833 0.9403 [4 per cell]  1 W 1.94, 1 Cr 1.96, 1 Mg 2.06
O 0.2513 0.6883 0.9277 [4 per cell]  1 W 1.95, 1 Cr 2.00, 1 Mg 2.06
O 0.3773 0.0655 0.7519 [4 per cell]  1 W 1.98, 1 Cr 2.01, 2 Mg 2.05-2.11

DOS at the Fermi energy   6.64 states/eV per cell
E_tot   -8.14 eV/atom
Offset from the most stable computed form   15 meV/atom
Calculated volume   200.08 Å³ per cell


First-principles (PBEsol) data for Cu2SiNi after structural relaxation, as listed in the Alexandria database.

a b c (Å): 5.6140 5.6140 5.6140
angles (deg): 90.00 90.00 90.00
Closest atoms and distances in Å follow each position.
Space group F-43m (No. 216)
Inequivalent atoms, fractional coordinates:
Cu 0.0000 0.0000 0.0000 [4 per cell]  4 Ni 2.43, 4 Cu 2.43
Cu 0.2500 0.2500 0.2500 [4 per cell]  4 Cu 2.43, 4 Si 2.43
Si 0.0000 0.0000 0.5000 [4 per cell]  4 Cu 2.43, 4 Ni 2.43
Ni 0.2500 0.2500 0.7500 [4 per cell]  4 Cu 2.43, 4 Si 2.43

DOS at the Fermi energy   5.96 states/eV per cell
E_tot   -5.37 eV/atom
Calculated volume   176.94 Å³ per cell


First-principles (PBEsol) data for Ta5Cd after structural relaxation, as listed in the Alexandria database.

a b c (Å): 5.5920 5.5920 4.4769
angles (deg): 90.00 90.00 120.00
Closest atoms and distances in Å follow each position.
Space group P6/mmm (No. 191)
Inequivalent atoms, fractional coordinates:
Ta 0.0000 0.5000 0.0000 [3 per cell]  8 Ta 2.76-2.80
Ta 0.3333 0.6667 0.5000 [2 per cell]  6 Ta 2.76
Cd 0.0000 0.0000 0.5000 [1 per cell]  18 Ta 3.23-3.58

DOS at the Fermi energy   6.01 states/eV per cell
E_tot   -10.01 eV/atom
Calculated volume   121.24 Å³ per cell


First-principles (PBEsol) data for PmZn2Ag after structural relaxation, as listed in the Alexandria database.

a b c (Å): 6.6688 6.6688 6.6688
angles (deg): 90.00 90.00 90.00
Closest atoms and distances in Å follow each position.
Space group Fm-3m (No. 225)
Inequivalent atoms, fractional coordinates:
Pm 0.0000 0.0000 0.0000 [4 per cell]  8 Zn 2.89
Zn 0.2500 0.2500 0.2500 [8 per cell]  4 Pm 2.89, 4 Ag 2.89
Ag 0.0000 0.0000 0.5000 [4 per cell]  8 Zn 2.89

DOS at the Fermi energy   6.54 states/eV per cell
E_tot   -3.20 eV/atom
Calculated volume   296.58 Å³ per cell


First-principles (PBEsol) data for CrCoSi2 after structural relaxation, as listed in the Alexandria database.

a b c (Å): 2.7915 2.7915 5.5735
angles (deg): 90.00 90.00 90.00
Closest atoms and distances in Å follow each position.
Space group P4/mmm (No. 123)
Inequivalent atoms, fractional coordinates:
Cr 0.0000 0.0000 0.0000 [1 per cell]  8 Si 2.42
Co 0.0000 0.0000 0.5000 [1 per cell]  8 Si 2.42
Si 0.5000 0.5000 0.2500 [2 per cell]  4 Co 2.42, 4 Cr 2.42

DOS at the Fermi energy   3.30 states/eV per cell
E_tot   -7.75 eV/atom
Calculated volume   43.43 Å³ per cell


First-principles (PBEsol) data for Si2Ag6O7 after structural relaxation, as listed in the Alexandria database.

a b c (Å): 7.8730 5.2706 10.4788
angles (deg): 90.00 115.51 90.00
Closest atoms and distances in Å follow each position.
Space group P2/c (No. 13)
Inequivalent atoms, fractional coordinates:
Si 0.2023 0.2494 0.3662 [4 per cell]  4 O 1.63-1.66
Ag 0.0678 0.2870 0.6079 [4 per cell]  2 O 2.15-2.23
Ag 0.3150 0.3120 0.1044 [4 per cell]  4 O 2.21-2.45
Ag 0.4406 0.2606 0.8565 [4 per cell]  3 O 2.29-2.34
O 0.0000 0.1292 0.2500 [2 per cell]  2 Si 1.66
O 0.1834 0.4372 0.8713 [4 per cell]  1 Si 1.66
O 0.2491 0.1277 0.5226 [4 per cell]  1 Si 1.65
O 0.3641 0.1698 0.3156 [4 per cell]  1 Si 1.63

DOS at the Fermi energy   3.06 states/eV per cell
E_tot   -5.65 eV/atom
Offset from the most stable computed form   0 meV/atom
Calculated volume   392.44 Å³ per cell


First-principles (PBEsol) data for CuMo6S8 after structural relaxation, as listed in the Alexandria database.

a b c (Å): 6.3834 6.3854 12.8052
angles (deg): 94.91 94.15 93.66
Closest atoms and distances in Å follow each position.
Space group P1 (No. 1)
Inequivalent atoms, fractional coordinates:
Cu 0.0000 0.0000 0.0000 [1 per cell]  4 S 2.30-2.36
Cu 0.2248 0.8081 0.4828 [1 per cell]  4 S 2.30-2.34
Mo 0.3449 0.3549 0.7271 [1 per cell]  5 S 2.39-2.48, 1 Mo 2.68
Mo 0.3566 0.3543 0.2280 [1 per cell]  5 S 2.37-2.44
Mo 0.5371 0.4949 0.5621 [1 per cell]  5 S 2.37-2.47
Mo 0.5451 0.4894 0.0614 [1 per cell]  5 S 2.39-2.46
Mo 0.5841 0.7418 0.7550 [1 per cell]  5 S 2.38-2.44
Mo 0.6035 0.7332 0.2548 [1 per cell]  5 S 2.38-2.47
Mo 0.6772 0.1637 0.6586 [1 per cell]  5 S 2.38-2.44
Mo 0.6883 0.1596 0.1579 [1 per cell]  5 S 2.39-2.48
Mo 0.7282 0.4124 0.8497 [1 per cell]  5 S 2.38-2.44
Mo 0.7411 0.4012 0.3500 [1 per cell]  5 S 2.38-2.47
Mo 0.9176 0.5485 0.6857 [1 per cell]  5 S 2.38-2.47
Mo 0.9334 0.5385 0.1852 [1 per cell]  5 S 2.39-2.44
S 0.0092 0.2186 0.2674 [1 per cell]  4 Mo 2.39-2.44
S 0.2620 0.6830 0.6476 [1 per cell]  1 Cu 2.32, 4 Mo 2.38-2.48
S 0.2812 0.6755 0.1470 [1 per cell]  4 Mo 2.38-2.44
S 0.3403 0.1478 0.5559 [1 per cell]  1 Cu 2.34, 3 Mo 2.43-2.47
S 0.3404 0.1497 0.0588 [1 per cell]  1 Cu 2.36, 3 Mo 2.42-2.47
S 0.4047 0.5743 0.8891 [1 per cell]  4 Mo 2.39-2.44
S 0.4172 0.5748 0.3871 [1 per cell]  1 Cu 2.32, 4 Mo 2.37-2.47
S 0.5118 0.0923 0.8193 [1 per cell]  4 Mo 2.38-2.44
S 0.5224 0.0836 0.3175 [1 per cell]  4 Mo 2.38-2.44
S 0.7514 0.8142 0.5949 [1 per cell]  4 Mo 2.37-2.44
S 0.7684 0.8060 0.0929 [1 per cell]  1 Cu 2.33, 4 Mo 2.39-2.46
S 0.8600 0.3276 0.5258 [1 per cell]  4 Mo 2.38-2.44
S 0.8726 0.3301 0.0205 [1 per cell]  1 Cu 2.31, 4 Mo 2.39-2.48
S 0.9211 0.7566 0.8573 [1 per cell]  1 Cu 2.30, 3 Mo 2.43-2.47
S 0.9469 0.7363 0.3575 [1 per cell]  1 Cu 2.30, 3 Mo 2.43-2.47
S 0.9992 0.2276 0.7658 [1 per cell]  4 Mo 2.38-2.44

DOS at the Fermi energy   17.46 states/eV per cell
E_tot   -8.05 eV/atom
Calculated volume   517.38 Å³ per cell


First-principles (PBEsol) data for BeOs2 after structural relaxation, as listed in the Alexandria database.

a b c (Å): 2.7131 4.2035 6.6736
angles (deg): 90.00 90.00 90.00
Closest atoms and distances in Å follow each position.
Space group Immm (No. 71)
Inequivalent atoms, fractional coordinates:
Be 0.0000 0.0000 0.0000 [2 per cell]  8 Os 2.44-2.50, 2 Be 2.71
Os 0.0000 0.5000 0.1852 [4 per cell]  4 Be 2.44-2.50, 7 Os 2.47-2.71

DOS at the Fermi energy   3.67 states/eV per cell
E_tot   -9.31 eV/atom
Calculated volume   76.11 Å³ per cell


First-principles (PBEsol) data for Li5Pb after structural relaxation, as listed in the Alexandria database.

a b c (Å): 3.5270 3.5270 9.7320
angles (deg): 90.00 90.00 90.00
Closest atoms and distances in Å follow each position.
Space group P4/mmm (No. 123)
Inequivalent atoms, fractional coordinates:
Li 0.0000 0.0000 0.0000 [1 per cell]  10 Li 3.04-3.31
Li 0.0000 0.0000 0.3401 [2 per cell]  4 Pb 2.94, 5 Li 2.95-3.11
Li 0.5000 0.5000 0.1780 [2 per cell]  8 Li 2.95-3.04, 1 Pb 3.13
Pb 0.5000 0.5000 0.5000 [1 per cell]  10 Li 2.94-3.13

DOS at the Fermi energy   3.38 states/eV per cell
E_tot   -2.45 eV/atom
Offset from the most stable computed form   111 meV/atom
Calculated volume   121.06 Å³ per cell


First-principles (PBEsol) data for YNiB4 after structural relaxation, as listed in the Alexandria database.

a b c (Å): 7.4646 7.4646 8.4715
angles (deg): 90.00 90.00 90.00
Closest atoms and distances in Å follow each position.
Space group I4/mmm (No. 139)
Inequivalent atoms, fractional coordinates:
Y 0.0000 0.0000 0.2019 [4 per cell]  16 B 2.74-2.86, 4 Ni 3.04
Y 0.0000 0.5000 0.2500 [4 per cell]  16 B 2.77-2.82, 4 Ni 2.94
Ni 0.0000 0.2277 0.5000 [8 per cell]  6 B 2.05-2.16
B 0.1119 0.2765 0.0000 [16 per cell]  4 B 1.67-1.74
B 0.2320 0.2320 0.3474 [16 per cell]  3 B 1.69-1.74

DOS at the Fermi energy   12.65 states/eV per cell
E_tot   -7.47 eV/atom
Calculated volume   472.04 Å³ per cell


First-principles (PBEsol) data for TlAsSe2 after structural relaxation, as listed in the Alexandria database.

a b c (Å): 3.4533 3.4533 7.4526
angles (deg): 90.00 90.00 90.00
Closest atoms and distances in Å follow each position.
Space group P4/mmm (No. 123)
Inequivalent atoms, fractional coordinates:
Tl 0.0000 0.0000 0.0000 [1 per cell]  8 Se 3.26, 4 Tl 3.45
As 0.0000 0.0000 0.5000 [1 per cell]  8 Se 2.90
Se 0.5000 0.5000 0.2907 [2 per cell]  4 As 2.90, 1 Se 3.12

DOS at the Fermi energy   2.01 states/eV per cell
E_tot   -3.76 eV/atom
Calculated volume   88.87 Å³ per cell


First-principles (PBEsol) data for Fe2P after structural relaxation, as listed in the Alexandria database.

a b c (Å): 2.6536 11.7682 3.8687
angles (deg): 90.00 90.00 90.00
Closest atoms and distances in Å follow each position.
Space group Cmcm (No. 63)
Inequivalent atoms, fractional coordinates:
Fe 0.0000 0.0736 0.2500 [4 per cell]  6 P 2.28-2.35
Fe 0.0000 0.2274 0.7500 [4 per cell]  2 P 2.15, 4 Fe 2.41
P 0.0000 0.4163 0.2500 [4 per cell]  8 Fe 2.15-2.35

DOS at the Fermi energy   10.68 states/eV per cell
E_tot   -8.20 eV/atom
Calculated volume   120.81 Å³ per cell